Record 1
The following is a PBE calculation of crystalline PrNdZnSi at its relaxed geometry, from Alexandria via LeMat-Bulk.

* offset from the most stable computed form: 8.5 kJ/mol of atoms
* mass density: 6.4 g/cm3
* D(E_F): 0.721 states/eV/atom

```
data_PrNdZnSi
_cell_length_a 7.3249
_cell_length_b 7.3249
_cell_length_c 7.3249
_cell_angle_alpha 90.00
_cell_angle_beta 90.00
_cell_angle_gamma 90.00
_space_group_name_H-M_alt 'F -4 3 m'
_space_group_IT_number 216
_space_group_name_Hall 'F -4 2 3'
loop_
_atom_site_label
_atom_site_type_symbol
_atom_site_fract_x
_atom_site_fract_y
_atom_site_fract_z
_atom_site_occupancy
Pr1 Pr 0.0000 0.0000 0.0000 1
Nd1 Nd 0.0000 0.0000 0.5000 1
Zn1 Zn 0.2500 0.2500 0.7500 1
Si1 Si 0.2500 0.2500 0.2500 1
```

---

Record 2
The following is a PBE calculation of crystalline PrNd5Sm5 at its relaxed geometry, from Alexandria via LeMat-Bulk.

* offset from the most stable computed form: 9.3 kJ/mol of atoms
* mass density: 6.9 g/cm3
* D(E_F): 1.642 states/eV/atom
* energy of formation from the pure elements: 0.2339 eV/atom

```
data_PrNd5Sm5
_cell_length_a 18.8288
_cell_length_b 6.1573
_cell_length_c 7.0657
_cell_angle_alpha 90.00
_cell_angle_beta 108.52
_cell_angle_gamma 90.00
_space_group_name_H-M_alt 'C 1 2/m 1'
_space_group_IT_number 12
loop_
_space_group_symop_operation_xyz
'x,y,z'
'-x,-y,-z'
'-x,y,-z'
'x,-y,z'
'x+1/2,y+1/2,z'
'-x+1/2,-y+1/2,-z'
'-x+1/2,y+1/2,-z'
'x+1/2,-y+1/2,z'
loop_
_atom_site_label
_atom_site_type_symbol
_atom_site_fract_x
_atom_site_fract_y
_atom_site_fract_z
_atom_site_occupancy
Pr1 Pr 0.0000 0.0000 0.0000 1
Nd1 Nd 0.0000 0.0000 0.5000 1
Nd2 Nd 0.1267 0.5000 0.6481 1
Nd3 Nd 0.1714 0.5000 0.1907 1
Sm1 Sm 0.0000 0.5000 0.0000 1
Sm2 Sm 0.1742 0.0000 0.9259 1
Sm3 Sm 0.1770 0.0000 0.4176 1
```

---

Record 3
The following is a PBE calculation of crystalline Pr5Nd5Sm at its relaxed geometry, from Alexandria via LeMat-Bulk.

* offset from the most stable computed form: 8.9 kJ/mol of atoms
* mass density: 6.6 g/cm3
* D(E_F): 1.660 states/eV/atom
* energy of formation from the pure elements: 0.2221 eV/atom

```
data_Pr5Nd5Sm
_cell_length_a 19.2325
_cell_length_b 6.2033
_cell_length_c 7.1265
_cell_angle_alpha 90.00
_cell_angle_beta 110.37
_cell_angle_gamma 90.00
_space_group_name_H-M_alt 'C 1 2/m 1'
_space_group_IT_number 12
loop_
_space_group_symop_operation_xyz
'x,y,z'
'-x,-y,-z'
'-x,y,-z'
'x,-y,z'
'x+1/2,y+1/2,z'
'-x+1/2,-y+1/2,-z'
'-x+1/2,y+1/2,-z'
'x+1/2,-y+1/2,z'
loop_
_atom_site_label
_atom_site_type_symbol
_atom_site_fract_x
_atom_site_fract_y
_atom_site_fract_z
_atom_site_occupancy
Pr1 Pr 0.0000 0.0000 0.0000 1
Pr2 Pr 0.1739 0.5000 0.9289 1
Pr3 Pr 0.1748 0.5000 0.4171 1
Nd1 Nd 0.0000 0.5000 0.5000 1
Nd2 Nd 0.1256 0.0000 0.6344 1
Nd3 Nd 0.1704 0.0000 0.1783 1
Sm1 Sm 0.0000 0.5000 0.0000 1
```

---

Record 4
The following is a PBE calculation of crystalline Pr6NdSm2 at its relaxed geometry, from Alexandria via LeMat-Bulk.

* offset from the most stable computed form: 39.5 kJ/mol of atoms
* mass density: 5.8 g/cm3
* D(E_F): 1.598 states/eV/atom
* energy of formation from the pure elements: 0.5793 eV/atom

```
data_Pr6NdSm2
_cell_length_a 8.3544
_cell_length_b 8.3544
_cell_length_c 10.6777
_cell_angle_alpha 90.00
_cell_angle_beta 90.00
_cell_angle_gamma 90.00
_space_group_name_H-M_alt 'P 42/m n m'
_space_group_IT_number 136
_space_group_name_Hall '-P 4n 2n'
loop_
_atom_site_label
_atom_site_type_symbol
_atom_site_fract_x
_atom_site_fract_y
_atom_site_fract_z
_atom_site_occupancy
Pr1 Pr 0.2374 0.2374 0.0000 1
Pr2 Pr 0.2380 0.2380 0.3335 1
Nd1 Nd 0.0000 0.0000 0.5000 1
Sm1 Sm 0.0000 0.0000 0.1664 1
```

---

Record 5
The following is a PBE calculation of crystalline Pr5Nd4Sm3 at its relaxed geometry, from Alexandria via LeMat-Bulk.

* offset from the most stable computed form: 0.0 kJ/mol of atoms
* mass density: 6.8 g/cm3
* D(E_F): 1.569 states/eV/atom
* energy of formation from the pure elements: 0.0119 eV/atom

```
data_Pr5Nd4Sm3
_cell_length_a 6.3792
_cell_length_b 7.3573
_cell_length_c 9.0318
_cell_angle_alpha 89.99
_cell_angle_beta 89.93
_cell_angle_gamma 89.95
_space_group_name_H-M_alt 'P -1'
_space_group_IT_number 2
loop_
_space_group_symop_operation_xyz
'x,y,z'
'-x,-y,-z'
loop_
_atom_site_label
_atom_site_type_symbol
_atom_site_fract_x
_atom_site_fract_y
_atom_site_fract_z
_atom_site_occupancy
Pr1 Pr 0.0000 0.0000 0.0000 1
Pr2 Pr 0.3321 0.4997 0.6662 1
Pr3 Pr 0.4993 0.7495 0.0003 1
Nd1 Nd 0.1661 0.2501 0.3336 1
Nd2 Nd 0.3335 0.0000 0.6657 1
Sm1 Sm 0.0000 0.5000 0.0000 1
Sm2 Sm 0.1665 0.7499 0.3335 1
```

---

Record 6
The following is a PBE calculation of crystalline Pr2Nd5Sm2 at its relaxed geometry, from Alexandria via LeMat-Bulk.

* offset from the most stable computed form: 0.0 kJ/mol of atoms
* mass density: 6.8 g/cm3
* D(E_F): 1.589 states/eV/atom
* energy of formation from the pure elements: 0.0118 eV/atom

```
data_Pr2Nd5Sm2
_cell_length_a 15.5940
_cell_length_b 5.2061
_cell_length_c 8.2125
_cell_angle_alpha 90.00
_cell_angle_beta 108.53
_cell_angle_gamma 90.00
_space_group_name_H-M_alt 'C 1 2/m 1'
_space_group_IT_number 12
loop_
_space_group_symop_operation_xyz
'x,y,z'
'-x,-y,-z'
'-x,y,-z'
'x,-y,z'
'x+1/2,y+1/2,z'
'-x+1/2,-y+1/2,-z'
'-x+1/2,y+1/2,-z'
'x+1/2,-y+1/2,z'
loop_
_atom_site_label
_atom_site_type_symbol
_atom_site_fract_x
_atom_site_fract_y
_atom_site_fract_z
_atom_site_occupancy
Pr1 Pr 0.1665 0.0000 0.9998 1
Nd1 Nd 0.0000 0.5000 0.0000 1
Nd2 Nd 0.0563 0.0000 0.3341 1
Nd3 Nd 0.1114 0.5000 0.6654 1
Sm1 Sm 0.2223 0.5000 0.3345 1
```

---

Record 7
The following is a PBE calculation of crystalline Pr4NdSm10 at its relaxed geometry, from Alexandria via LeMat-Bulk.

* mass density: 6.5 g/cm3
* D(E_F): 1.719 states/eV/atom
* energy of formation from the pure elements: 0.3964 eV/atom

```
data_Pr4NdSm10
_cell_length_a 9.8778
_cell_length_b 9.8778
_cell_length_c 11.5561
_cell_angle_alpha 90.00
_cell_angle_beta 90.00
_cell_angle_gamma 90.00
_space_group_name_H-M_alt 'I 4/m'
_space_group_IT_number 87
_space_group_name_Hall '-I 4'
loop_
_atom_site_label
_atom_site_type_symbol
_atom_site_fract_x
_atom_site_fract_y
_atom_site_fract_z
_atom_site_occupancy
Pr1 Pr 0.0610 0.3069 0.0000 1
Nd1 Nd 0.0000 0.0000 0.5000 1
Sm1 Sm 0.0000 0.5000 0.2500 1
Sm2 Sm 0.1219 0.2251 0.3344 1
```

---

Record 8
The following is a PBE calculation of crystalline Pr5Nd2Sm3 at its relaxed geometry, from Alexandria via LeMat-Bulk.

* offset from the most stable computed form: 13.9 kJ/mol of atoms
* mass density: 6.5 g/cm3
* D(E_F): 1.718 states/eV/atom
* energy of formation from the pure elements: 0.3139 eV/atom

```
data_Pr5Nd2Sm3
_cell_length_a 13.3400
_cell_length_b 16.8318
_cell_length_c 6.6138
_cell_angle_alpha 90.00
_cell_angle_beta 90.00
_cell_angle_gamma 90.00
_space_group_name_H-M_alt 'I b a m'
_space_group_IT_number 72
_space_group_name_Hall '-I 2 2c'
loop_
_atom_site_label
_atom_site_type_symbol
_atom_site_fract_x
_atom_site_fract_y
_atom_site_fract_z
_atom_site_occupancy
Pr1 Pr 0.0000 0.0000 0.2500 1
Pr2 Pr 0.0979 0.3419 0.0000 1
Pr3 Pr 0.2478 0.5000 0.2500 1
Nd1 Nd 0.1544 0.2325 0.5000 1
Sm1 Sm 0.0000 0.5000 0.2500 1
Sm2 Sm 0.1061 0.1564 0.0000 1
```

---

Record 9
The following is a PBE calculation of crystalline Pr2Nd2Sm3 at its relaxed geometry, from Alexandria via LeMat-Bulk.

* offset from the most stable computed form: 0.0 kJ/mol of atoms
* mass density: 6.9 g/cm3
* D(E_F): 1.780 states/eV/atom
* energy of formation from the pure elements: 0.0158 eV/atom

```
data_Pr2Nd2Sm3
_cell_length_a 6.3556
_cell_length_b 6.3605
_cell_length_c 6.3621
_cell_angle_alpha 99.63
_cell_angle_beta 99.64
_cell_angle_gamma 99.59
_space_group_name_H-M_alt 'P -1'
_space_group_IT_number 2
loop_
_space_group_symop_operation_xyz
'x,y,z'
'-x,-y,-z'
loop_
_atom_site_label
_atom_site_type_symbol
_atom_site_fract_x
_atom_site_fract_y
_atom_site_fract_z
_atom_site_occupancy
Pr1 Pr 0.2148 0.4290 0.3560 1
Nd1 Nd 0.0723 0.1425 0.7859 1
Sm1 Sm 0.3583 0.7158 0.9293 1
Sm2 Sm 0.5000 0.0000 0.5000 1
```

---

Record 10
The following is a PBE calculation of crystalline Pr3Nd4Sm4 at its relaxed geometry, from Alexandria via LeMat-Bulk.

* offset from the most stable computed form: 0.0 kJ/mol of atoms
* mass density: 6.8 g/cm3
* D(E_F): 1.753 states/eV/atom
* energy of formation from the pure elements: 0.1445 eV/atom

```
data_Pr3Nd4Sm4
_cell_length_a 10.9365
_cell_length_b 5.8549
_cell_length_c 12.2305
_cell_angle_alpha 90.00
_cell_angle_beta 90.00
_cell_angle_gamma 90.00
_space_group_name_H-M_alt 'A m m 2'
_space_group_IT_number 38
loop_
_space_group_symop_operation_xyz
'x,y,z'
'-x,-y,z'
'-x,y,z'
'x,-y,z'
'x,y+1/2,z+1/2'
'-x,-y+1/2,z+1/2'
'-x,y+1/2,z+1/2'
'x,-y+1/2,z+1/2'
loop_
_atom_site_label
_atom_site_type_symbol
_atom_site_fract_x
_atom_site_fract_y
_atom_site_fract_z
_atom_site_occupancy
Pr1 Pr 0.0000 0.0000 0.0000 1
Pr2 Pr 0.2949 0.0000 0.1536 1
Nd1 Nd 0.0000 0.0000 0.7042 1
Nd2 Nd 0.2114 0.0000 0.4983 1
Nd3 Nd 0.5000 0.0000 0.6332 1
Sm1 Sm 0.0000 0.0000 0.2994 1
Sm2 Sm 0.3005 0.0000 0.8501 1
Sm3 Sm 0.5000 0.0000 0.3603 1
```

---

Record 11
The following is a PBE calculation of crystalline Pr3Nd4Sm8 at its relaxed geometry, from Alexandria via LeMat-Bulk.

* mass density: 6.8 g/cm3
* D(E_F): 1.889 states/eV/atom
* energy of formation from the pure elements: 0.3350 eV/atom

```
data_Pr3Nd4Sm8
_cell_length_a 13.7069
_cell_length_b 13.0482
_cell_length_c 6.9384
_cell_angle_alpha 90.00
_cell_angle_beta 120.37
_cell_angle_gamma 90.00
_space_group_name_H-M_alt 'C 1 2/m 1'
_space_group_IT_number 12
loop_
_space_group_symop_operation_xyz
'x,y,z'
'-x,-y,-z'
'-x,y,-z'
'x,-y,z'
'x+1/2,y+1/2,z'
'-x+1/2,-y+1/2,-z'
'-x+1/2,y+1/2,-z'
'x+1/2,-y+1/2,z'
loop_
_atom_site_label
_atom_site_type_symbol
_atom_site_fract_x
_atom_site_fract_y
_atom_site_fract_z
_atom_site_occupancy
Pr1 Pr 0.0000 0.0000 0.0000 1
Pr2 Pr 0.2500 0.2500 0.5000 1
Nd1 Nd 0.0000 0.5000 0.0000 1
Nd2 Nd 0.0000 0.5000 0.5000 1
Nd3 Nd 0.2500 0.2500 0.0000 1
Sm1 Sm 0.0000 0.1430 0.5000 1
Sm2 Sm 0.0000 0.2432 0.0000 1
Sm3 Sm 0.2326 0.0000 0.4977 1
Sm4 Sm 0.2344 0.0000 0.9731 1
```

---

Record 12
The following is a PBE calculation of crystalline Pr3Nd5Sm3 at its relaxed geometry, from Alexandria via LeMat-Bulk.

* offset from the most stable computed form: 0.0 kJ/mol of atoms
* mass density: 5.6 g/cm3
* D(E_F): 1.935 states/eV/atom
* energy of formation from the pure elements: 0.7074 eV/atom

```
data_Pr3Nd5Sm3
_cell_length_a 9.8497
_cell_length_b 9.8497
_cell_length_c 5.6376
_cell_angle_alpha 90.00
_cell_angle_beta 90.00
_cell_angle_gamma 120.00
_space_group_name_H-M_alt 'P -6 2 m'
_space_group_IT_number 189
_space_group_name_Hall 'P -6 -2'
loop_
_atom_site_label
_atom_site_type_symbol
_atom_site_fract_x
_atom_site_fract_y
_atom_site_fract_z
_atom_site_occupancy
Pr1 Pr 0.0000 0.5799 0.0000 1
Nd1 Nd 0.0000 0.3656 0.5000 1
Nd2 Nd 0.3333 0.6667 0.5000 1
Sm1 Sm 0.0000 0.7299 0.5000 1
```